# 1
A geometry-optimized MgZn2Tc structure. Source: Alexandria, functional PBE.

Lattice parameters (Å, degrees): 4.9813 4.9813 4.9813 135.16 135.16 65.28
Element x y z (fractional)
Mg: 0.5000 0.5000 0.0000
Tc: 0.7500 0.2500 0.5000
Zn: 0.0000 0.0000 0.0000
Zn: 0.2500 0.7500 0.5000

Output
As for the space-group type: I-4m2. The density comes out at 6.9 g cm⁻³. For the polymorph energy (0 for the lowest one), the calculation gives 0.35 eV per formula unit. Its density of states at the Fermi level is 0.80 states/eV per atom. As for the calculated formation energy: 0.08 eV/atom.

# 2
A geometry-optimized MgZn2Tc2 structure. Source: Alexandria, functional PBE.

Lattice parameters (Å, degrees): 6.6644 6.6644 3.4227 90.00 90.00 90.00
Element x y z (fractional)
Mg: 0.0000 0.0000 0.0000
Mg: 0.5000 0.5000 0.0000
Zn: 0.3698 0.8698 0.0000
Zn: 0.8698 0.6302 0.0000
Zn: 0.6302 0.1302 0.0000
Zn: 0.1302 0.3698 0.0000
Tc: 0.1670 0.6670 0.5000
Tc: 0.6670 0.8330 0.5000
Tc: 0.8330 0.3330 0.5000
Tc: 0.3330 0.1670 0.5000

Output
As for the space-group type: P4/mbm. The density comes out at 7.7 g cm⁻³. For the polymorph energy (0 for the lowest one), the calculation gives 0.34 eV per formula unit. Its density of states at the Fermi level is 1.54 states/eV per atom. As for the calculated formation energy: 0.29 eV/atom.

# 3
A geometry-optimized MgZn6Tc structure. Source: Alexandria, functional PBE.

Lattice parameters (Å, degrees): 5.2755 5.2755 5.2755 86.41 86.41 86.41
Site moments in Bohr magnetons follow the coordinates.
Element x y z (fractional)
Mg: 0.0000 0.0000 0.0000  0.01
Zn: 0.1595 0.5242 0.1595  -0.01
Zn: 0.1595 0.1595 0.5242  -0.01
Zn: 0.8405 0.4758 0.8405  -0.01
Zn: 0.4758 0.8405 0.8405  -0.01
Zn: 0.8405 0.8405 0.4758  -0.01
Zn: 0.5242 0.1595 0.1595  -0.01
Tc: 0.5000 0.5000 0.5000  1.94

Output
As for the space-group type: R-3m. The density comes out at 5.9 g cm⁻³. Its density of states at the Fermi level is 0.33 states/eV per atom. As for the calculated formation energy: 0.37 eV/atom.

# 4
A geometry-optimized MgZn2Tc structure. Source: Alexandria, functional PBE.

Lattice parameters (Å, degrees): 4.7700 4.7700 5.0964 82.71 82.71 32.94
Element x y z (fractional)
Mg: 0.7500 0.7500 0.7500
Tc: 0.2500 0.2500 0.2500
Zn: 0.9947 0.9947 0.0247
Zn: 0.5053 0.5053 0.4753

Output
As for the space-group type: C2/m. The density comes out at 6.7 g cm⁻³. For the polymorph energy (0 for the lowest one), the calculation gives 0.34 eV per formula unit. Its density of states at the Fermi level is 0.50 states/eV per atom. As for the calculated formation energy: 0.08 eV/atom.

# 5
A geometry-optimized MgZnTc structure. Source: Alexandria, functional PBE.

Lattice parameters (Å, degrees): 7.0353 6.8688 2.7311 82.12 75.26 22.61
Element x y z (fractional)
Mg: 0.9975 0.9975 0.0025
Tc: 0.3301 0.3301 0.6699
Zn: 0.6724 0.6724 0.3276

Output
As for the space-group type: Fmm2. The density comes out at 6.6 g cm⁻³. For the polymorph energy (0 for the lowest one), the calculation gives 0.00 eV per formula unit. Its density of states at the Fermi level is 0.75 states/eV per atom. As for the calculated formation energy: 0.17 eV/atom.

# 6
A geometry-optimized MgZn2Tc structure. Source: Alexandria, functional PBE.

Lattice parameters (Å, degrees): 3.8351 3.8351 9.6081 78.49 78.49 90.00
Element x y z (fractional)
Mg: 0.5000 0.5000 0.0000
Mg: 0.2500 0.7500 0.5000
Zn: 0.6545 0.1250 0.2500
Zn: 0.0955 0.6250 0.2500
Zn: 0.3750 0.3455 0.7500
Zn: 0.8750 0.9045 0.7500
Tc: 0.0000 0.0000 0.0000
Tc: 0.7500 0.2500 0.5000

Output
As for the space-group type: I-42d. The density comes out at 6.2 g cm⁻³. For the polymorph energy (0 for the lowest one), the calculation gives 1.74 eV per formula unit. Its density of states at the Fermi level is 0.41 states/eV per atom. As for the calculated formation energy: 0.42 eV/atom.

# 7
A geometry-optimized MgZn2Tc structure. Source: Alexandria, functional PBE.

Lattice parameters (Å, degrees): 4.8872 4.8872 2.7397 90.00 90.00 112.02
Element x y z (fractional)
Mg: 0.5000 0.0000 0.5000
Tc: 0.0000 0.5000 0.5000
Zn: 0.0000 0.0000 0.0000
Zn: 0.5000 0.5000 0.0000

Output
As for the space-group type: Cmmm. The density comes out at 6.9 g cm⁻³. For the polymorph energy (0 for the lowest one), the calculation gives 0.21 eV per formula unit. Its density of states at the Fermi level is 0.47 states/eV per atom. As for the calculated formation energy: 0.04 eV/atom.

# 8
A geometry-optimized MgZn2Tc structure. Source: Alexandria, functional PBE.

Lattice parameters (Å, degrees): 4.4099 4.4099 4.4099 60.00 60.00 60.00
Element x y z (fractional)
Mg: 0.0000 0.0000 0.0000
Zn: 0.2500 0.2500 0.2500
Zn: 0.7500 0.7500 0.7500
Tc: 0.5000 0.5000 0.5000

Output
As for the space-group type: Fm-3m. The density comes out at 6.9 g cm⁻³. For the polymorph energy (0 for the lowest one), the calculation gives 0.47 eV per formula unit. Its density of states at the Fermi level is 0.80 states/eV per atom. As for the calculated formation energy: 0.11 eV/atom.

Among the records above, which one has the lowest density? MgZn6Tc

Copy entry 1 word for word.
A geometry-optimized MgZn2Tc structure. Source: Alexandria, functional PBE.

Lattice parameters (Å, degrees): 4.9813 4.9813 4.9813 135.16 135.16 65.28
Element x y z (fractional)
Mg: 0.5000 0.5000 0.0000
Tc: 0.7500 0.2500 0.5000
Zn: 0.0000 0.0000 0.0000
Zn: 0.2500 0.7500 0.5000

Output
As for the space-group type: I-4m2. The density comes out at 6.9 g cm⁻³. For the polymorph energy (0 for the lowest one), the calculation gives 0.35 eV per formula unit. Its density of states at the Fermi level is 0.80 states/eV per atom. As for the calculated formation energy: 0.08 eV/atom.

Which formula does entry 8 have? MgZn2Tc

calculated formation energy of number 5 (MgZnTc)? 0.17 eV/atom